Computed, not measured: YMnO2 after structural relaxation at the GGA+U level of DFT.

Values from the calculation:
- magnetic moment (μB/atom) = 1.08
- theoretical density (kg/m³) = 4469
- total DFT energy (no corrections) (eV/atom) = -8.10
- volume (Å³/atom) = 16.3
- space-group type = No. 122

POSCAR file:
```
YMnO2
1.0
-2.514 2.514 5.170
2.514 -2.514 5.170
2.514 2.514 -5.170
Y Mn O
2 2 4
Cartesian
0.000 0.000 0.000
0.000 2.514 2.585
2.514 0.000 2.585
0.000 0.000 5.170
1.257 -1.219 3.877
1.295 1.257 1.292
1.257 3.733 -1.292
1.219 1.257 6.462
```